Record 1
Here is SrBe2Ni at its PBEsol-relaxed geometry from Alexandria via LeMat-Bulk. Energies are from meta-GGA SCAN.

Unit cell a=3.8308 b=3.8348 c=5.6813 alpha=109.78 beta=90.00 gamma=119.97
Atoms (fractional coordinates):
Ni (0.5694, 0.1389, 0.7086)
Be (0.9305, 0.8610, 0.7916)
Sr (0.7522, 0.5044, 0.2566)
Be (0.2479, 0.4957, 0.7432)

## Properties
As for the distance to the lowest polymorph of the same formula: 0.00 eV per formula unit. Its space group is R3m. As for the density of states at the Fermi level: 1.93 states/eV/cell.


Record 2
Here is TaBe2Ni at its PBEsol-relaxed geometry from Alexandria via LeMat-Bulk. Energies are from meta-GGA SCAN.

Unit cell a=2.7214 b=2.7214 c=5.8801 alpha=90.00 beta=90.00 gamma=90.00
Atoms (fractional coordinates):
Ta (0.5000, 0.5000, 0.0000)
Be (0.0000, 0.0000, 0.3015)
Be (0.0000, 0.0000, 0.6985)
Ni (0.5000, 0.5000, 0.5000)

## Properties
As for the distance to the lowest polymorph of the same formula: 0.00 eV per formula unit. Its space group is P4/mmm. As for the density of states at the Fermi level: 2.32 states/eV/cell.


Record 3
Here is TaBeNi at its PBEsol-relaxed geometry from Alexandria via LeMat-Bulk. Energies are from meta-GGA SCAN.

Unit cell a=3.8801 b=3.8801 c=3.8801 alpha=60.00 beta=60.00 gamma=60.00
Atoms (fractional coordinates):
Be (0.5000, 0.5000, 0.5000)
Ta (0.0000, 0.0000, 0.0000)
Ni (0.2500, 0.2500, 0.2500)

## Properties
Its space group is F-43m. As for the density of states at the Fermi level: 5.95 states/eV/cell. Its uncorrected energy is -1.065 Ha/atom.